# 1
Below is a geometry-optimized Ti6RePd2 structure, with properties calculated at the GGA-PBE level.

The calculation puts the density of states at the Fermi level at 26.222 states/eV/cell. The total DFT energy (no corrections) comes out at -7.779 eV per atom. The value obtained for the energy of formation from the pure elements is 0.021 eV/atom.

It has space group Immm (No. 71), with a = 4.3492 Å, b = 6.1063 Å, c = 12.8330 Å, α = 90.00°, β = 90.00° and γ = 90.00°. The inequivalent atoms are Ti at (0.0000, 0.2423, 0.0000), Ti at (0.0000, 0.2536, 0.3373), Re at (0.0000, 0.5000, 0.5000) and Pd at (0.0000, 0.5000, 0.1681).



# 2
Below is a geometry-optimized Ti5RePd4 structure, with properties calculated at the GGA-PBE level.

The calculation puts the density of states at the Fermi level at 8.362 states/eV/cell. The total DFT energy (no corrections) comes out at -7.778 eV per atom. The value obtained for the energy of formation from the pure elements is -0.509 eV/atom.

It has space group P4/mmm (No. 123), with a = 3.0443 Å, b = 3.0443 Å, c = 17.1115 Å, α = 90.00°, β = 90.00° and γ = 90.00°. The inequivalent atoms are Ti at (0.0000, 0.0000, 0.0000), Ti at (0.0000, 0.0000, 0.2051), Ti at (0.0000, 0.0000, 0.4100), Re at (0.5000, 0.5000, 0.5000), Pd at (0.5000, 0.5000, 0.0987) and Pd at (0.5000, 0.5000, 0.3105).



# 3
Below is a geometry-optimized TiRe3Pd structure, with properties calculated at the GGA-PBE level.

The calculation puts the density of states at the Fermi level at 12.304 states/eV/cell. The total DFT energy (no corrections) comes out at -7.745 eV per atom. The value obtained for the energy of formation from the pure elements is 2.341 eV/atom.

It has space group Pm-3m (No. 221), with a = 4.6612 Å, b = 4.6612 Å, c = 4.6612 Å, α = 90.00°, β = 90.00° and γ = 90.00°. The inequivalent atoms are Ti at (0.0000, 0.0000, 0.0000), Re at (0.0000, 0.5000, 0.5000) and Pd at (0.5000, 0.5000, 0.5000).



# 4
Below is a geometry-optimized Ti2RePd2 structure, with properties calculated at the GGA-PBE level.

The calculation puts the density of states at the Fermi level at 14.035 states/eV/cell. The total DFT energy (no corrections) comes out at -7.886 eV per atom. The value obtained for the energy of formation from the pure elements is -0.162 eV/atom.

It has space group P4/mbm (No. 127), with a = 7.4201 Å, b = 7.4201 Å, c = 2.8540 Å, α = 90.00°, β = 90.00° and γ = 90.00°. The inequivalent atoms are Ti at (0.1756, 0.3244, 0.0000), Re at (0.0000, 0.0000, 0.5000) and Pd at (0.1272, 0.6272, 0.5000).



# 5
Below is a geometry-optimized Ti4Re3Pd structure, with properties calculated at the GGA-PBE level.

The calculation puts the density of states at the Fermi level at 4.721 states/eV/cell. The total DFT energy (no corrections) comes out at -9.742 eV per atom. The value obtained for the energy of formation from the pure elements is -0.478 eV/atom.

It has space group Pmmm (No. 47), with a = 3.1291 Å, b = 4.4337 Å, c = 8.7999 Å, α = 90.00°, β = 90.00° and γ = 90.00°. The inequivalent atoms are Ti at (0.0000, 0.0000, 0.0000), Ti at (0.0000, 0.0000, 0.5000), Ti at (0.0000, 0.5000, 0.2417), Re at (0.5000, 0.0000, 0.2540), Re at (0.5000, 0.5000, 0.0000) and Pd at (0.5000, 0.5000, 0.5000).



# 6
Below is a geometry-optimized Ti2RePd2 structure, with properties calculated at the GGA-PBE level.

The calculation puts the density of states at the Fermi level at 5.767 states/eV/cell. The total DFT energy (no corrections) comes out at -8.204 eV per atom. The value obtained for the energy of formation from the pure elements is -0.480 eV/atom.

It has space group Cmmm (No. 65), with a = 3.1099 Å, b = 16.7186 Å, c = 3.1072 Å, α = 90.00°, β = 90.00° and γ = 90.00°. The inequivalent atoms are Ti at (0.0000, 0.0917, 0.0000), Re at (0.0000, 0.5000, 0.5000) and Pd at (0.0000, 0.3187, 0.5000).



# 7
Below is a geometry-optimized TiRePdW2 structure, with properties calculated at the GGA-PBE level.

The calculation puts the density of states at the Fermi level at 4.600 states/eV/cell. The total DFT energy (no corrections) comes out at -8.487 eV per atom. The value obtained for the energy of formation from the pure elements is 1.801 eV/atom.

It has space group P4/mmm (No. 123), with a = 4.5387 Å, b = 4.5387 Å, c = 4.4743 Å, α = 90.00°, β = 90.00° and γ = 90.00°. The inequivalent atoms are Ti at (0.0000, 0.0000, 0.0000), Re at (0.0000, 0.0000, 0.5000), Pd at (0.5000, 0.5000, 0.5000) and W at (0.0000, 0.5000, 0.0000).



# 8
Below is a geometry-optimized ZrTiRePd structure, with properties calculated at the GGA-PBE level.

The calculation puts the density of states at the Fermi level at 12.681 states/eV/cell. The total DFT energy (no corrections) comes out at -8.943 eV per atom. The value obtained for the energy of formation from the pure elements is -0.422 eV/atom.

It has space group F-43m (No. 216), with a = 6.4731 Å, b = 6.4731 Å, c = 6.4731 Å, α = 90.00°, β = 90.00° and γ = 90.00°. The inequivalent atoms are Zr at (0.0000, 0.0000, 0.0000), Ti at (0.0000, 0.0000, 0.5000), Re at (0.2500, 0.2500, 0.2500) and Pd at (0.2500, 0.2500, 0.7500).



# 9
Below is a geometry-optimized TlRe3Pd structure, with properties calculated at the GGA-PBE level.

The calculation puts the density of states at the Fermi level at 8.149 states/eV/cell. The total DFT energy (no corrections) comes out at -6.445 eV per atom. The value obtained for the energy of formation from the pure elements is 2.536 eV/atom.

It has space group Pm-3m (No. 221), with a = 4.7684 Å, b = 4.7684 Å, c = 4.7684 Å, α = 90.00°, β = 90.00° and γ = 90.00°. The inequivalent atoms are Tl at (0.0000, 0.0000, 0.0000), Re at (0.0000, 0.5000, 0.5000) and Pd at (0.5000, 0.5000, 0.5000).



# 10
Below is a geometry-optimized TlRePd3 structure, with properties calculated at the GGA-PBE level.

The calculation puts the density of states at the Fermi level at 4.809 states/eV/cell. The total DFT energy (no corrections) comes out at -5.086 eV per atom. The value obtained for the energy of formation from the pure elements is 0.993 eV/atom.

It has space group Pm-3m (No. 221), with a = 4.8775 Å, b = 4.8775 Å, c = 4.8775 Å, α = 90.00°, β = 90.00° and γ = 90.00°. The inequivalent atoms are Tl at (0.0000, 0.0000, 0.0000), Re at (0.5000, 0.5000, 0.5000) and Pd at (0.0000, 0.5000, 0.5000).



# 11
Below is a geometry-optimized TlRePd2 structure, with properties calculated at the GGA-PBE level.

The calculation puts the density of states at the Fermi level at 10.598 states/eV/cell. The total DFT energy (no corrections) comes out at -5.766 eV per atom. The value obtained for the energy of formation from the pure elements is 0.534 eV/atom.

It has space group Fm-3m (No. 225), with a = 6.5007 Å, b = 6.5007 Å, c = 6.5007 Å, α = 90.00°, β = 90.00° and γ = 90.00°. The inequivalent atoms are Tl at (0.0000, 0.0000, 0.0000), Re at (0.0000, 0.0000, 0.5000) and Pd at (0.2500, 0.2500, 0.2500).



# 12
Below is a geometry-optimized TlRe2Pd structure, with properties calculated at the GGA-PBE level.

The calculation puts the density of states at the Fermi level at 19.719 states/eV/cell. The total DFT energy (no corrections) comes out at -7.135 eV per atom. The value obtained for the energy of formation from the pure elements is 0.979 eV/atom.

It has space group Fm-3m (No. 225), with a = 6.4191 Å, b = 6.4191 Å, c = 6.4191 Å, α = 90.00°, β = 90.00° and γ = 90.00°. The inequivalent atoms are Tl at (0.0000, 0.0000, 0.0000), Re at (0.2500, 0.2500, 0.2500) and Pd at (0.0000, 0.0000, 0.5000).



# 13
Below is a geometry-optimized TlRe2Pd structure, with properties calculated at the GGA-PBE level.

The calculation puts the density of states at the Fermi level at 18.149 states/eV/cell. The total DFT energy (no corrections) comes out at -6.813 eV per atom. The value obtained for the energy of formation from the pure elements is 1.300 eV/atom.

It has space group I-42d (No. 122), with a = 7.5473 Å, b = 7.5473 Å, c = 5.2243 Å, α = 90.00°, β = 90.00° and γ = 90.00°. The inequivalent atoms are Tl at (0.0000, 0.0000, 0.0000), Re at (0.2277, 0.2500, 0.6250) and Pd at (0.0000, 0.0000, 0.5000).



# 14
Below is a geometry-optimized Tl3RePd structure, with properties calculated at the GGA-PBE level.

The calculation puts the density of states at the Fermi level at 3.481 states/eV/cell. The total DFT energy (no corrections) comes out at -4.002 eV per atom. The value obtained for the energy of formation from the pure elements is 0.946 eV/atom.

It has space group Pm-3m (No. 221), with a = 5.2794 Å, b = 5.2794 Å, c = 5.2794 Å, α = 90.00°, β = 90.00° and γ = 90.00°. The inequivalent atoms are Tl at (0.0000, 0.0000, 0.5000), Re at (0.0000, 0.0000, 0.0000) and Pd at (0.5000, 0.5000, 0.5000).



# 15
Below is a geometry-optimized TlRePd2 structure, with properties calculated at the GGA-PBE level.

The calculation puts the density of states at the Fermi level at 14.739 states/eV/cell. The total DFT energy (no corrections) comes out at -5.503 eV per atom. The value obtained for the energy of formation from the pure elements is 0.797 eV/atom.

It has space group I-42d (No. 122), with a = 4.0086 Å, b = 4.0086 Å, c = 18.5429 Å, α = 90.00°, β = 90.00° and γ = 90.00°. The inequivalent atoms are Tl at (0.0000, 0.0000, 0.0000), Re at (0.0000, 0.0000, 0.5000) and Pd at (0.2315, 0.2500, 0.6250).



# 16
Below is a geometry-optimized TlRePd3 structure, with properties calculated at the GGA-PBE level.

The calculation puts the density of states at the Fermi level at 3.917 states/eV/cell. The total DFT energy (no corrections) comes out at -4.360 eV per atom. The value obtained for the energy of formation from the pure elements is 1.719 eV/atom.

It has space group Pm-3m (No. 221), with a = 4.9748 Å, b = 4.9748 Å, c = 4.9748 Å, α = 90.00°, β = 90.00° and γ = 90.00°. The inequivalent atoms are Tl at (0.0000, 0.0000, 0.0000), Re at (0.5000, 0.5000, 0.5000) and Pd at (0.0000, 0.0000, 0.5000).



# 17
Below is a geometry-optimized U2RePd structure, with properties calculated at the GGA-PBE level.

The calculation puts the density of states at the Fermi level at 7.449 states/eV/cell. The total DFT energy (no corrections) comes out at -10.049 eV per atom. The value obtained for the energy of formation from the pure elements is 0.006 eV/atom.

It has space group P4/mmm (No. 123), with a = 3.1362 Å, b = 3.1362 Å, c = 8.0157 Å, α = 90.00°, β = 90.00° and γ = 90.00°. The inequivalent atoms are U at (0.0000, 0.0000, 0.2350), Re at (0.5000, 0.5000, 0.0000) and Pd at (0.5000, 0.5000, 0.5000).



# 18
Below is a geometry-optimized V4RePd2 structure, with properties calculated at the GGA-PBE level.

The calculation puts the density of states at the Fermi level at 18.718 states/eV/cell. The total DFT energy (no corrections) comes out at -7.609 eV per atom. The value obtained for the energy of formation from the pure elements is 0.863 eV/atom.

It has space group I4/mmm (No. 139), with a = 4.5903 Å, b = 4.5903 Å, c = 12.6428 Å, α = 90.00°, β = 90.00° and γ = 90.00°. The inequivalent atoms are V at (0.0000, 0.0000, 0.1911), V at (0.0000, 0.5000, 0.0000), Re at (0.0000, 0.0000, 0.0000) and Pd at (0.0000, 0.0000, 0.3883).



# 19
Below is a geometry-optimized V3RePd structure, with properties calculated at the GGA-PBE level.

The calculation puts the density of states at the Fermi level at 7.088 states/eV/cell. The total DFT energy (no corrections) comes out at -7.850 eV per atom. The value obtained for the energy of formation from the pure elements is 1.150 eV/atom.

It has space group Pm-3m (No. 221), with a = 4.5455 Å, b = 4.5455 Å, c = 4.5455 Å, α = 90.00°, β = 90.00° and γ = 90.00°. The inequivalent atoms are V at (0.0000, 0.0000, 0.5000), Re at (0.0000, 0.0000, 0.0000) and Pd at (0.5000, 0.5000, 0.5000).



# 20
Below is a geometry-optimized V2RePd structure, with properties calculated at the GGA-PBE level.

The calculation puts the density of states at the Fermi level at 5.203 states/eV/cell. The total DFT energy (no corrections) comes out at -9.133 eV per atom. The value obtained for the energy of formation from the pure elements is -0.163 eV/atom.

It has space group P4/mmm (No. 123), with a = 3.0925 Å, b = 3.0925 Å, c = 6.0005 Å, α = 90.00°, β = 90.00° and γ = 90.00°. The inequivalent atoms are V at (0.0000, 0.0000, 0.2346), Re at (0.5000, 0.5000, 0.0000) and Pd at (0.5000, 0.5000, 0.5000).